DFT (PBE) results for an optimized crystal structure of CuAg2P.

As for the formation energy: 3.023 eV per formula unit. The volume is 377.55 Å³ per cell.

Geometry as CIF:
```
data_CuAg2P
_space_group_name_H-M_alt 'I -4 2 d'
_space_group_IT_number 122
_space_group_name_Hall 'I -4 2bw'
_cell_length_a 5.746
_cell_length_b 5.746
_cell_length_c 11.435
_cell_angle_alpha 90.00
_cell_angle_beta 90.00
_cell_angle_gamma 90.00
loop_
_atom_site_label
_atom_site_fract_x
_atom_site_fract_y
_atom_site_fract_z
_atom_site_occupancy
Cu1 0.000 0.000 0.000 1
Ag1 0.223 0.250 0.625 1
P1 0.000 0.000 0.500 1
```

---

DFT (PBE) results for an optimized crystal structure of CuAgP2.

As for the formation energy: 1.542 eV per formula unit. The volume is 122.39 Å³ per cell. For the relative energy among the computed polymorphs, the calculation gives 288 meV per atom.

Geometry as CIF:
```
data_CuAgP2
_space_group_name_H-M_alt 'C m m m'
_space_group_IT_number 65
_space_group_name_Hall '-C 2 2'
_cell_length_a 3.650
_cell_length_b 4.265
_cell_length_c 7.862
_cell_angle_alpha 90.00
_cell_angle_beta 90.00
_cell_angle_gamma 90.00
loop_
_atom_site_label
_atom_site_fract_x
_atom_site_fract_y
_atom_site_fract_z
_atom_site_occupancy
Cu1 0.000 0.000 0.000 1
Ag1 0.000 0.000 0.500 1
P1 0.000 0.500 0.219 1
```

---

DFT (PBE) results for an optimized crystal structure of CuAgP2.

As for the formation energy: 1.449 eV per formula unit. The volume is 128.96 Å³ per cell. For the relative energy among the computed polymorphs, the calculation gives 265 meV per atom.

Geometry as CIF:
```
data_CuAgP2
_space_group_name_H-M_alt 'C m m 2'
_space_group_IT_number 35
_cell_length_a 3.784
_cell_length_b 3.792
_cell_length_c 8.986
_cell_angle_alpha 90.00
_cell_angle_beta 90.00
_cell_angle_gamma 90.00
loop_
_space_group_symop_operation_xyz
'x,y,z'
'-x,-y,z'
'-x,y,z'
'x,-y,z'
'x+1/2,y+1/2,z'
'-x+1/2,-y+1/2,z'
'-x+1/2,y+1/2,z'
'x+1/2,-y+1/2,z'
loop_
_atom_site_label
_atom_site_fract_x
_atom_site_fract_y
_atom_site_fract_z
_atom_site_occupancy
Cu1 0.000 0.000 0.000 1
Ag1 0.000 0.500 0.235 1
P1 0.000 0.000 0.474 1
P2 0.000 0.500 0.820 1
```

---

DFT (PBE) results for an optimized crystal structure of CuAg2P.

As for the formation energy: 1.253 eV per formula unit. The volume is 193.05 Å³ per cell.

Geometry as CIF:
```
data_CuAg2P
_space_group_name_H-M_alt 'R -3 m'
_space_group_IT_number 166
_space_group_name_Hall '-R 3 2"'
_cell_length_a 2.9307
_cell_length_b 2.9307
_cell_length_c 25.9536
_cell_angle_alpha 90.00
_cell_angle_beta 90.00
_cell_angle_gamma 120.00
loop_
_atom_site_label
_atom_site_fract_x
_atom_site_fract_y
_atom_site_fract_z
_atom_site_occupancy
Cu1 0.0000 0.0000 0.0000 1
Ag1 0.0000 0.0000 0.2508 1
P1 0.0000 0.0000 0.5000 1
```

---

DFT (PBE) results for an optimized crystal structure of CuAg2P.

As for the formation energy: 1.008 eV per formula unit. The volume is 127.21 Å³ per cell.

Geometry as CIF:
```
data_CuAg2P
_space_group_name_H-M_alt 'I 4/m m m'
_space_group_IT_number 139
_space_group_name_Hall '-I 4 2'
_cell_length_a 3.989
_cell_length_b 3.989
_cell_length_c 7.994
_cell_angle_alpha 90.00
_cell_angle_beta 90.00
_cell_angle_gamma 90.00
loop_
_atom_site_label
_atom_site_fract_x
_atom_site_fract_y
_atom_site_fract_z
_atom_site_occupancy
Cu1 0.000 0.000 0.000 1
Ag1 0.000 0.500 0.250 1
P1 0.000 0.000 0.500 1
```

---

DFT (PBE) results for an optimized crystal structure of PmCu2AgP2.

As for the formation energy: -3.227 eV per formula unit. The volume is 102.43 Å³ per cell.

Geometry as CIF:
```
data_PmCu2AgP2
_space_group_name_H-M_alt 'P -3 m 1'
_space_group_IT_number 164
_space_group_name_Hall '-P 3 2"'
_cell_length_a 4.0313
_cell_length_b 4.0313
_cell_length_c 7.2781
_cell_angle_alpha 90.00
_cell_angle_beta 90.00
_cell_angle_gamma 120.00
loop_
_atom_site_label
_atom_site_fract_x
_atom_site_fract_y
_atom_site_fract_z
_atom_site_occupancy
Pm1 0.0000 0.0000 0.0000 1
Cu1 0.3333 0.6667 0.7080 1
Ag1 0.0000 0.0000 0.5000 1
P1 0.3333 0.6667 0.2468 1
```

---

DFT (PBE) results for an optimized crystal structure of RbCuAgP.

As for the formation energy: -0.184 eV per formula unit. The volume is 305.75 Å³ per cell.

Geometry as CIF:
```
data_RbCuAgP
_space_group_name_H-M_alt 'R 3 m'
_space_group_IT_number 160
_space_group_name_Hall 'R 3 -2"'
_cell_length_a 4.3648
_cell_length_b 4.3648
_cell_length_c 18.5318
_cell_angle_alpha 90.00
_cell_angle_beta 90.00
_cell_angle_gamma 120.00
loop_
_atom_site_label
_atom_site_fract_x
_atom_site_fract_y
_atom_site_fract_z
_atom_site_occupancy
Rb1 0.0000 0.0000 0.0000 1
Cu1 0.0000 0.0000 0.4862 1
Ag1 0.0000 0.0000 0.1843 1
P1 0.0000 0.0000 0.8084 1
```

---

DFT (PBE) results for an optimized crystal structure of CuReAg2P.

As for the formation energy: 7.567 eV per formula unit. The volume is 101.89 Å³ per cell.

Geometry as CIF:
```
data_CuReAg2P
_space_group_name_H-M_alt 'P 4/m m m'
_space_group_IT_number 123
_space_group_name_Hall '-P 4 2'
_cell_length_a 4.647
_cell_length_b 4.647
_cell_length_c 4.719
_cell_angle_alpha 90.00
_cell_angle_beta 90.00
_cell_angle_gamma 90.00
loop_
_atom_site_label
_atom_site_fract_x
_atom_site_fract_y
_atom_site_fract_z
_atom_site_occupancy
Cu1 0.000 0.000 0.000 1
Re1 0.000 0.000 0.500 1
Ag1 0.000 0.500 0.000 1
P1 0.500 0.500 0.500 1
```